Entry 1:
A relaxed AsIrPbO crystal. Source: OQMD via LeMat-Bulk, functional PBE.

Values from the calculation:
Polymorph energy (0 for the lowest one), kJ/mol of atoms: 0.0
Final energy, eV for the cell shown: -49.627

Unit cell a=4.000 b=4.000 c=10.311 alpha=90.00 beta=90.00 gamma=90.00
Space group P4/nmm (No. 129, origin choice 2)
Inequivalent atoms, fractional coordinates:
As: 0.250 0.250 0.139
Ir: 0.250 0.750 0.000
Pb: 0.250 0.250 0.617
O: 0.250 0.750 0.500

***

Entry 2:
A relaxed AsIrPbO crystal. Source: OQMD via LeMat-Bulk, functional PBE.

Values from the calculation:
Polymorph energy (0 for the lowest one), kJ/mol of atoms: 109.6
Final energy, eV for the cell shown: -40.543

Unit cell a=4.267 b=4.267 c=8.261 alpha=90.00 beta=90.00 gamma=90.00
Space group P4/nmm (No. 129, origin choice 2)
Inequivalent atoms, fractional coordinates:
As: 0.250 0.250 0.225
Ir: 0.250 0.250 0.932
Pb: 0.250 0.750 0.500
O: 0.250 0.750 0.000

***

Entry 3:
A relaxed AsIrPb2O6 crystal. Source: OQMD via LeMat-Bulk, functional PBE.

Values from the calculation:
Final energy, eV for the cell shown: -59.269

Unit cell a=4.912 b=4.955 c=5.630 alpha=98.55 beta=95.95 gamma=104.41
Space group P-1 (No. 2)
Inequivalent atoms, fractional coordinates:
As: 0.000 0.000 0.000
Ir: 0.500 0.500 0.000
Pb: 0.262 0.758 0.542
O: 0.184 0.191 0.769
O: 0.230 0.747 0.942
O: 0.281 0.267 0.231

***

Entry 4:
A relaxed AsIrPbO crystal. Source: OQMD via LeMat-Bulk, functional PBE.

Values from the calculation:
Polymorph energy (0 for the lowest one), kJ/mol of atoms: 53.5
Final energy, eV for the cell shown: -45.190

Unit cell a=3.906 b=6.082 c=6.919 alpha=90.00 beta=90.00 gamma=90.00
Space group Pmc2_1 (No. 26)
Inequivalent atoms, fractional coordinates:
As: 0.000 0.175 0.000
Ir: 0.000 0.174 0.657
Pb: 0.500 0.394 0.270
O: 0.500 0.239 0.614

***

Entry 5:
A relaxed AsIrPbO crystal. Source: OQMD via LeMat-Bulk, functional PBE.

Values from the calculation:
Polymorph energy (0 for the lowest one), kJ/mol of atoms: 34.6
Final energy, eV for the cell shown: -46.757

Unit cell a=3.610 b=7.902 c=5.508 alpha=90.00 beta=90.00 gamma=90.00
Space group Pmc2_1 (No. 26)
Inequivalent atoms, fractional coordinates:
As: 0.000 0.156 0.000
Ir: 0.500 0.002 0.245
Pb: 0.000 0.391 0.507
O: 0.500 0.194 0.497

***

Entry 6:
A relaxed PrAsIrO crystal. Source: OQMD via LeMat-Bulk, functional PBE.

Values from the calculation:
Final energy, eV for the cell shown: -56.798

Unit cell a=4.468 b=4.253 c=7.378 alpha=90.00 beta=90.00 gamma=90.00
Space group Pmc2_1 (No. 26)
Inequivalent atoms, fractional coordinates:
Pr: 0.000 0.249 0.000
As: 0.500 0.252 0.667
Ir: 0.500 0.248 0.334
O: 0.000 0.252 0.334

***

Entry 7:
A relaxed PrAsIrO crystal. Source: OQMD via LeMat-Bulk, functional PBE.

Values from the calculation:
Final energy, eV for the cell shown: -55.945

Unit cell a=3.403 b=7.967 c=5.368 alpha=90.00 beta=90.00 gamma=90.00
Space group Pmc2_1 (No. 26)
Inequivalent atoms, fractional coordinates:
Pr: 0.000 0.157 0.000
As: 0.000 0.439 0.507
Ir: 0.500 0.233 0.499
O: 0.500 0.005 0.256

***

Entry 8:
A relaxed Pr2ZnAs2IrO2 crystal. Source: OQMD via LeMat-Bulk, functional PBE.

Values from the calculation:
Final energy, eV for the cell shown: -52.263

Unit cell a=4.087 b=4.087 c=8.685 alpha=90.00 beta=90.00 gamma=90.00
Space group P-4m2 (No. 115)
Inequivalent atoms, fractional coordinates:
Pr: 0.000 0.500 0.138
Zn: 0.500 0.500 0.500
As: 0.000 0.500 0.671
Ir: 0.000 0.000 0.500
O: 0.000 0.000 0.000
O: 0.500 0.500 0.000

***

Entry 9:
A relaxed AsIrPtO crystal. Source: OQMD via LeMat-Bulk, functional PBE.

Values from the calculation:
Polymorph energy (0 for the lowest one), kJ/mol of atoms: 25.7
Final energy, eV for the cell shown: -48.260

Unit cell a=4.090 b=4.090 c=7.046 alpha=90.00 beta=90.00 gamma=90.00
Space group P4/nmm (No. 129, origin choice 2)
Inequivalent atoms, fractional coordinates:
As: 0.250 0.250 0.197
Ir: 0.250 0.750 0.000
Pt: 0.250 0.250 0.600
O: 0.250 0.750 0.500

***

Entry 10:
A relaxed AsIrPtO crystal. Source: OQMD via LeMat-Bulk, functional PBE.

Values from the calculation:
Polymorph energy (0 for the lowest one), kJ/mol of atoms: 0.0
Final energy, eV for the cell shown: -50.393

Unit cell a=3.835 b=6.051 c=5.474 alpha=90.00 beta=90.00 gamma=90.00
Space group Pmc2_1 (No. 26)
Inequivalent atoms, fractional coordinates:
As: 0.000 0.238 0.000
Ir: 0.000 0.357 0.577
Pt: 0.500 0.007 0.535
O: 0.500 0.365 0.513

***

Entry 11:
A relaxed AsIrPtO crystal. Source: OQMD via LeMat-Bulk, functional PBE.

Values from the calculation:
Polymorph energy (0 for the lowest one), kJ/mol of atoms: 22.9
Final energy, eV for the cell shown: -48.498

Unit cell a=4.048 b=4.048 c=8.243 alpha=90.00 beta=90.00 gamma=90.00
Space group P4/nmm (No. 129, origin choice 2)
Inequivalent atoms, fractional coordinates:
As: 0.250 0.250 0.172
Ir: 0.250 0.750 0.000
Pt: 0.250 0.250 0.565
O: 0.250 0.750 0.500

***

Entry 12:
A relaxed AsIrPtO crystal. Source: OQMD via LeMat-Bulk, functional PBE.

Values from the calculation:
Polymorph energy (0 for the lowest one), kJ/mol of atoms: 11.0
Final energy, eV for the cell shown: -49.483

Unit cell a=4.136 b=5.411 c=5.703 alpha=90.00 beta=90.00 gamma=90.00
Space group Pmc2_1 (No. 26)
Inequivalent atoms, fractional coordinates:
As: 0.000 0.245 0.000
Ir: 0.500 0.476 0.108
Pt: 0.000 0.202 0.587
O: 0.500 0.235 0.381